DFT (GGA-PBE) results for a relaxed K4AgHg crystal.

a b c (Å): 7.2364 8.6361 8.6361
angles (deg): 90.00 90.00 90.00
Fractional positions:
K1 0.5000 0.3152 0.8319
K2 0.5000 0.8319 0.6848
K3 0.0000 0.8319 0.3152
K4 0.5000 0.1681 0.3152
K5 0.0000 0.6848 0.8319
K6 0.0000 0.1681 0.6848
K7 0.0000 0.3152 0.1681
K8 0.5000 0.6848 0.1681
Hg1 0.7500 0.5000 0.5000
Hg2 0.2500 0.5000 0.5000
Ag1 0.7500 0.0000 0.0000
Ag2 0.2500 0.0000 0.0000

Output
- Symmetry: P4/mcc
- N(E_F): 4.8 states/eV/cell
- DFT formation energy: -37.4 kJ/mol of formula units
- Energy above the lowest structure with this stoichiometry: 0.0 meV/atom

***

DFT (GGA-PBE) results for a relaxed Li10SiP2O12 crystal.

a b c (Å): 6.6781 7.2681 10.4950
angles (deg): 89.29 89.42 90.09
Fractional positions:
O1 0.5138 0.2137 0.6226
O2 0.3069 0.9995 0.0918
O3 0.7026 0.0018 0.7831
O4 0.2196 0.5227 0.7156
O5 0.0071 0.8554 0.5843
O6 0.6995 0.5183 0.0921
O7 0.2169 0.5372 0.4123
O8 0.0286 0.6705 0.9115
O9 0.8178 0.0366 0.4178
O10 0.2000 0.0207 0.4083
O11 0.5110 0.6789 0.9129
O12 0.0184 0.6991 0.2435
O13 0.3249 0.0110 0.7890
O14 0.0138 0.3006 0.8898
O15 0.3209 0.5163 0.0928
O16 0.5342 0.8268 0.2730
O17 0.8085 0.5171 0.7228
O18 0.8239 0.5146 0.4114
O19 0.7051 0.9807 0.0669
O20 0.5089 0.8632 0.6007
O21 0.0239 0.2015 0.5819
O22 0.5124 0.3311 0.9280
O23 0.5141 0.1943 0.2578
O24 0.0260 0.3495 0.2458
P1 0.5119 0.0266 0.6971
P2 0.0122 0.0286 0.4968
P3 0.5111 0.5102 0.0076
P4 0.0212 0.5227 0.3305
Li1 0.7645 0.7485 0.1688
Li2 0.7584 0.1869 0.9393
Li3 0.2532 0.3529 0.5729
Li4 0.9993 0.4544 0.0616
Li5 0.7833 0.7981 0.9238
Li6 0.7207 0.7779 0.4096
Li7 0.4825 0.9410 0.9426
Li8 0.2716 0.7419 0.8172
Li9 0.2101 0.1579 0.2447
Li10 0.2630 0.7937 0.3239
Li11 0.7950 0.3642 0.5749
Li12 0.0284 0.0980 0.7531
Li13 0.5006 0.0596 0.4351
Li14 0.7824 0.2387 0.3016
Li15 0.4643 0.4615 0.2532
Li16 0.5210 0.4433 0.7579
Li17 0.2602 0.1976 0.9519
Li18 0.7752 0.7644 0.6694
Li19 0.1743 0.7562 0.0738
Li20 0.2393 0.7038 0.5743
Si1 0.5210 0.0052 0.1725
Si2 0.0138 0.4980 0.8071

Output
- Symmetry: P1
- Formation energy from raw total energies: -2.322 eV per atom
- N(E_F): 0.0 states/eV/cell

***

DFT (GGA-PBE) results for a relaxed SrNbN3 crystal.

a b c (Å): 4.1292 4.1292 4.1292
angles (deg): 90.00 90.00 90.00
Fractional positions:
N1 0.5000 0.0000 0.0000
N2 0.0000 0.0000 0.5000
N3 0.0000 0.5000 0.0000
Sr1 0.5000 0.5000 0.5000
Nb1 0.0000 0.0000 0.0000

Output
- Symmetry: Pm-3m
- Formation energy from raw total energies: -0.417 eV per atom
- N(E_F): 4.3 states/eV/cell

***

DFT (GGA-PBE) results for a relaxed Rb2Cd2Br crystal.

a b c (Å): 7.0773 7.0773 7.0543
angles (deg): 59.89 59.89 90.00
Fractional positions:
Rb1 0.2500 0.7500 0.5000
Rb2 0.7500 0.2500 0.5000
Cd1 0.3487 0.3487 0.3026
Cd2 0.6513 0.6513 0.6974
Br1 0.0000 0.0000 0.0000

Output
- Symmetry: I4/mmm
- Formation energy from raw total energies: -0.324 eV per atom
- N(E_F): 5.0 states/eV/cell

***

DFT (GGA-PBE) results for a relaxed V3Re3B4 crystal.

a b c (Å): 3.0334 5.8685 5.8685
angles (deg): 91.16 90.00 90.00
Fractional positions:
B1 0.0000 0.1196 0.1091
B2 0.0000 0.6187 0.3813
B3 0.0000 0.3758 0.6242
B4 0.0000 0.8909 0.8804
V1 0.5000 0.1727 0.8273
V2 0.0000 0.4973 0.9983
V3 0.0000 0.0017 0.5027
Re1 0.5000 0.6706 0.6759
Re2 0.5000 0.3241 0.3294
Re3 0.5000 0.8286 0.1714

Output
- Symmetry: Amm2
- N(E_F): 6.0 states/eV/cell
- DFT formation energy: -450.8 kJ/mol of formula units

***

DFT (GGA-PBE) results for a relaxed Fe4RhAu crystal.

a b c (Å): 4.8076 4.8076 4.8076
angles (deg): 60.00 60.00 60.00
Each line ends with the local moment (μB).
Fractional positions:
Au1 0.0000 0.0000 0.0000  0.09
Rh1 0.2500 0.2500 0.2500  0.76
Fe1 0.6251 0.1248 0.6251  2.41
Fe2 0.6251 0.6251 0.1248  2.41
Fe3 0.1248 0.6251 0.6251  2.41
Fe4 0.6251 0.6251 0.6251  2.41

Output
- Symmetry: F-43m
- N(E_F): 4.4 states/eV/cell
- DFT formation energy: 34.9 kJ/mol of formula units

***

DFT (GGA-PBE) results for a relaxed Mg4CdNi crystal.

a b c (Å): 5.1577 6.9994 7.9717
angles (deg): 116.03 108.68 90.04
Fractional positions:
Mg1 0.6239 0.8795 0.2483
Mg2 0.3764 0.6314 0.7518
Mg3 0.3761 0.1205 0.7517
Mg4 0.9998 0.2040 0.9999
Mg5 0.6236 0.3686 0.2482
Mg6 0.8302 0.3296 0.6584
Mg7 0.1698 0.6704 0.3416
Mg8 0.0002 0.7960 0.0001
Ni1 0.7254 0.4997 0.9995
Ni2 0.2746 0.5003 0.0005
Cd1 0.8090 0.8074 0.6149
Cd2 0.1910 0.1926 0.3851

Output
- Symmetry: C2/m
- N(E_F): 4.8 states/eV/cell
- DFT formation energy: -70.5 kJ/mol of formula units
- Energy above the lowest structure with this stoichiometry: 0.0 meV/atom

***

DFT (GGA-PBE) results for a relaxed Rb5Tm3Br12 crystal.

a b c (Å): 14.0555 14.0555 4.4269
angles (deg): 90.00 90.00 120.00
Each line ends with the local moment (μB).
Fractional positions:
Br1 0.1984 0.0000 0.0000  0.00
Br2 0.2129 0.7707 0.5000  0.00
Br3 0.4622 0.0000 0.0000  0.00
Br4 0.8016 0.8016 0.0000  0.00
Br5 0.5577 0.7871 0.5000  0.00
Br6 0.0000 0.4622 0.0000  0.00
Br7 0.0000 0.1984 0.0000  0.00
Br8 0.7707 0.2129 0.5000  0.00
Br9 0.7871 0.5577 0.5000  0.00
Br10 0.2293 0.4423 0.5000  0.00
Br11 0.4423 0.2293 0.5000  0.00
Br12 0.5378 0.5378 0.0000  0.00
Tm1 0.0000 0.3313 0.5000  0.18
Tm2 0.6687 0.6687 0.5000  0.18
Tm3 0.3313 0.0000 0.5000  0.18
Rb1 0.6667 0.3333 0.0000  0.00
Rb2 0.2811 0.2811 0.0000  0.00
Rb3 0.7189 0.0000 0.0000  0.00
Rb4 0.3333 0.6667 0.0000  0.00
Rb5 0.0000 0.7189 0.0000  0.00

Output
- Symmetry: P-62m
- Formation energy from raw total energies: -1.696 eV per atom
- N(E_F): 3.6 states/eV/cell